[1]
Below is a relaxed MgTi3V5O16 crystal, with properties calculated at the GGA+U level.

a = 5.893 Å, b = 5.912 Å, c = 9.277 Å
α = 87.81°, β = 87.45°, γ = 61.30°
Space group P1 (No. 1)
Inequivalent atoms, fractional coordinates:
Mg 0.000 0.000 0.000 x1
Ti 0.024 0.026 0.687 x1
Ti 0.392 0.833 0.232 x1
Ti 0.848 0.333 0.258 x1
V 0.031 0.522 0.743 x1
V 0.342 0.351 0.235 x1
V 0.519 0.031 0.745 x1
V 0.527 0.523 0.960 x1
V 0.837 0.836 0.458 x1
O 0.000 0.004 0.356 x1
O 0.147 0.707 0.602 x1
O 0.168 0.164 0.132 x1
O 0.203 0.206 0.626 x1
O 0.229 0.669 0.103 x1
O 0.343 0.878 0.841 x1
O 0.361 0.367 0.837 x1
O 0.511 0.520 0.346 x1
O 0.523 0.006 0.344 x1
O 0.671 0.664 0.108 x1
O 0.675 0.225 0.111 x1
O 0.706 0.147 0.603 x1
O 0.714 0.717 0.615 x1
O 0.867 0.871 0.840 x1
O 0.870 0.350 0.841 x1
O 0.996 0.520 0.345 x1

Calculated values
**Final energy**: -8.045 eV/atom
**E above lowest polymorph**: 27 meV per atom
**Calculated volume**: 283.1 Å³/f.u.


[2]
Below is a relaxed MgTiW2O crystal, with properties calculated at the GGA+U level.

a = 4.418 Å, b = 4.418 Å, c = 3.922 Å
α = 90.00°, β = 90.00°, γ = 90.00°
Space group P4/mmm (No. 123)
Inequivalent atoms, fractional coordinates:
Mg 0.000 0.000 0.000 x1
Ti 0.500 0.500 0.000 x1
W 0.000 0.500 0.500 x2
O 0.000 0.000 0.500 x1

Calculated values
**Final energy**: -5.757 eV/atom
**Calculated volume**: 76.6 Å³/f.u.


[3]
Below is a relaxed MgTiWO6 crystal, with properties calculated at the GGA+U level.

a = 5.1043 Å, b = 5.1043 Å, c = 9.1454 Å
α = 90.00°, β = 90.00°, γ = 120.00°
Space group P-31c (No. 163)
Inequivalent atoms, fractional coordinates:
Mg 0.0000 0.0000 0.0000 x2
Ti 0.3333 0.6667 0.2500 x2
W 0.3333 0.6667 0.7500 x2
O 0.0038 0.3542 0.6345 x12

Calculated values
**Final energy**: -7.657 eV/atom
**Calculated volume**: 103.2 Å³/f.u.